Here is crystalline CaRe2Ge at its relaxed geometry from the Alexandria database. Energies are from PBE-GGA.

Fermi-level density of states	6.00	states/eV/cell
DFT formation energy	0.722	eV/atom
E_tot	-28.6	eV/f.u.
magnetization	0.000	μB/atom

a = 4.5761 Å, b = 4.5761 Å, c = 9.5381 Å
α = 76.12°, β = 76.12°, γ = 90.00°
Closest atoms and distances in Å follow each position.
Atoms (fractional coordinates):
Ge 0.0000 0.0000 0.0000  4 Re 2.54
Ge 0.7500 0.2500 0.5000  4 Re 2.54
Re 0.7956 0.1250 0.2500  2 Re 2.40, 2 Ge 2.54
Re 0.3750 0.2044 0.7500  2 Re 2.40, 2 Ge 2.54
Re 0.9544 0.6250 0.2500  2 Re 2.40, 2 Ge 2.54
Re 0.8750 0.0456 0.7500  2 Re 2.40, 2 Ge 2.54
Ca 0.2500 0.7500 0.5000  4 Re 3.17, 4 Ge 3.24
Ca 0.5000 0.5000 0.0000  4 Re 3.17, 4 Ge 3.24

Here is crystalline Ca2Re4Ge at its relaxed geometry from the Alexandria database. Energies are from PBE-GGA.

Fermi-level density of states	8.38	states/eV/cell
DFT formation energy	1.729	eV/atom
E_tot	-46.3	eV/f.u.
magnetization	0.558	μB/atom

a = 4.6210 Å, b = 4.6210 Å, c = 8.2408 Å
α = 73.72°, β = 73.72°, γ = 90.00°
Closest atoms and distances in Å follow each position.
Atoms (fractional coordinates):
Re 0.1519 0.1519 0.6961  1 Ge 2.30
Re 0.0000 0.5000 0.0000  2 Ge 2.31
Re 0.8481 0.8481 0.3039  1 Ge 2.30
Re 0.5000 0.0000 0.0000  2 Ge 2.31
Ge 0.0000 0.0000 0.0000  6 Re 2.30-2.31
Ca 0.3575 0.3575 0.2851  9 Re 3.11-3.27
Ca 0.6425 0.6425 0.7149  9 Re 3.11-3.27